Record 1
# KHoSeO

A geometry-optimized KHoSeO structure (GGA-PBE, OQMD via LeMat-Bulk).

Summary:
**Energy relative to the lowest polymorph listed for this composition**: 0.2304 eV per atom

Cell and atoms, written as POSCAR:
```
KHoSeO
1.0
4.098 0.000 0.000
0.000 4.098 0.000
0.000 0.000 10.084
O K Ho Se
2 2 2 2
Direct
0.250 0.750 0.000
0.750 0.250 0.000
0.250 0.750 0.500
0.750 0.250 0.500
0.750 0.750 0.903
0.250 0.250 0.097
0.750 0.750 0.269
0.250 0.250 0.731
```

=====

Record 2
# Lu2InTc

A geometry-optimized Lu2InTc structure (GGA-PBE, OQMD via LeMat-Bulk).

Summary:
**Raw total energy**: -22.10 eV per cell

Cell and atoms, written as POSCAR:
```
Lu2InTc
1.0
0.000 3.473 3.473
3.473 0.000 3.473
3.473 3.473 0.000
In Tc Lu
1 1 2
Direct
0.500 0.500 0.500
0.250 0.250 0.250
0.000 0.000 0.000
0.750 0.750 0.750
```

=====

Record 3
# AgPbAu2

A geometry-optimized AgPbAu2 structure (GGA-PBE, OQMD via LeMat-Bulk).

Summary:
**Raw total energy**: -12.97 eV per cell

Cell and atoms, written as POSCAR:
```
AgPbAu2
1.0
2.543 -2.010 3.676
-0.291 1.901 4.508
-2.337 -2.448 3.545
Au Ag Pb
2 1 1
Direct
0.000 0.000 0.000
0.750 0.750 0.750
0.250 0.250 0.250
0.500 0.500 0.500
```

=====

Question: What is the formula in the second record?
Answer: Lu2InTc